Mn3CdO6 | PBE with a Hubbard U | relaxed

Computed properties:
Its space group is No. 14. As for the total energy: -132.6 eV/cell.

a = 5.150 Å, b = 5.345 Å, c = 8.303 Å
α = 90.00°, β = 89.64°, γ = 90.00°
Site moments in Bohr magnetons follow the coordinates.
Atoms (fractional coordinates):
Mn  0.000  0.000  0.500  3.52
Mn  0.500  0.500  0.000  3.52
Mn  0.999  0.498  0.798  4.05
Mn  0.001  0.502  0.202  4.05
Mn  0.499  0.002  0.298  4.05
Mn  0.501  0.998  0.702  4.05
O  0.328  0.725  0.166  -0.17
O  0.828  0.777  0.332  -0.17
O  0.322  0.842  0.498  -0.09
O  0.822  0.658  0.998  -0.09
O  0.678  0.158  0.502  -0.09
O  0.672  0.277  0.168  -0.17
O  0.328  0.723  0.832  -0.17
O  0.828  0.775  0.666  -0.17
O  0.672  0.275  0.834  -0.17
O  0.172  0.223  0.668  -0.17
O  0.172  0.225  0.334  -0.17
O  0.178  0.342  0.002  -0.09
Cd  0.000  0.000  0.000  0.01
Cd  0.500  0.500  0.500  0.01